Material: CaPdW
Method: DFT, PBE
State: relaxed

Properties
N(E_F)	14.71	states/eV per cell
theoretical density	8.559	g cm⁻³
offset from the most stable computed form	100	meV per atom
final energy	-6.63	eV per atom
E_form	0.084	eV/atom

a = 5.1311 Å, b = 4.5364 Å, c = 11.0131 Å
α = 90.00°, β = 90.00°, γ = 90.00°
With the nearest neighbours (Å) after each atom.
Sites, in units of the cell vectors:
W (0.0004, 0.7500, 0.2500)  2 W 2.57, 4 Pd 2.70
W (0.5004, 0.7500, 0.2500)  2 W 2.57, 4 Pd 2.70
W (0.9996, 0.2500, 0.7500)  2 W 2.57, 4 Pd 2.70
W (0.4996, 0.2500, 0.7500)  2 W 2.57, 4 Pd 2.70
Ca (0.7499, 0.7500, 0.9626)  5 Pd 3.04-3.34
Ca (0.7501, 0.2500, 0.4626)  5 Pd 3.04-3.34
Ca (0.2499, 0.7500, 0.5374)  5 Pd 3.04-3.34
Ca (0.2501, 0.2500, 0.0374)  5 Pd 3.04-3.34
Pd (0.7503, 0.2500, 0.1854)  4 W 2.70, 2 Pd 2.93
Pd (0.2497, 0.7500, 0.8146)  4 W 2.70, 2 Pd 2.93
Pd (0.2503, 0.2500, 0.3146)  4 W 2.70, 2 Pd 2.93
Pd (0.7497, 0.7500, 0.6854)  4 W 2.70, 2 Pd 2.93

=====

Material: ReCN3
Method: DFT, PBE
State: relaxed

Properties
N(E_F)	2.86	states/eV per cell
formation energy (no corrections)	2.278	eV per atom
theoretical density	10.687	g cm⁻³
final energy	-7.05	eV per atom

a = 3.3421 Å, b = 3.3421 Å, c = 3.3421 Å
α = 90.00°, β = 90.00°, γ = 90.00°
With the nearest neighbours (Å) after each atom.
Sites, in units of the cell vectors:
N (0.0000, 0.5000, 0.0000)  2 C 1.67
N (0.5000, 0.0000, 0.0000)  2 C 1.67
N (0.0000, 0.0000, 0.5000)  2 C 1.67
Re (0.5000, 0.5000, 0.5000)  12 N 2.36
C (0.0000, 0.0000, 0.0000)  6 N 1.67

=====

Material: Sm2FeGePt6
Method: DFT, PBE
State: relaxed

Properties
N(E_F)	5.44	states/eV per cell
theoretical density	13.436	g cm⁻³
final energy	-6.56	eV per atom
E_form	-0.686	eV/atom

a = 5.4695 Å, b = 8.4510 Å, c = 6.5706 Å
α = 50.59°, β = 65.41°, γ = 90.01°
With the nearest neighbours (Å) after each atom.
Sites, in units of the cell vectors:
Pt (0.7370, 0.2359, 0.0299)  1 Fe 2.52, 1 Ge 2.52, 4 Pt 2.71-2.81
Pt (0.7670, 0.7642, 0.9699)  1 Fe 2.52, 1 Ge 2.52, 4 Pt 2.71-2.81
Pt (0.2330, 0.2358, 0.0301)  1 Fe 2.52, 1 Ge 2.52, 4 Pt 2.71-2.81
Pt (0.2485, 0.3973, 0.5031)  1 Ge 2.48, 1 Fe 2.48, 2 Pt 2.76
Pt (0.2630, 0.7641, 0.9701)  1 Fe 2.52, 1 Ge 2.52, 4 Pt 2.71-2.81
Pt (0.7515, 0.6027, 0.4969)  1 Ge 2.48, 1 Fe 2.48, 2 Pt 2.76
Sm (0.7429, 0.2130, 0.5141)  7 Pt 3.05-3.22
Sm (0.2571, 0.7870, 0.4859)  7 Pt 3.05-3.22
Ge (0.5000, 0.5000, 0.0000)  6 Pt 2.48-2.52
Fe (0.0000, 0.0000, 0.0000)  6 Pt 2.48-2.52

=====

Material: CrReB3
Method: DFT, PBE
State: relaxed

Properties
N(E_F)	7.09	states/eV per cell
theoretical density	6.886	g cm⁻³
offset from the most stable computed form	1538	meV per atom
final energy	-7.00	eV per atom
E_form	1.420	eV/atom

a = 4.0261 Å, b = 4.0261 Å, c = 4.0261 Å
α = 90.00°, β = 90.00°, γ = 90.00°
With the nearest neighbours (Å) after each atom.
Sites, in units of the cell vectors:
Cr (0.5000, 0.5000, 0.5000)  12 B 2.85
B (0.5000, 0.0000, 0.0000)  2 Re 2.01
B (0.0000, 0.5000, 0.0000)  2 Re 2.01
B (0.0000, 0.0000, 0.5000)  2 Re 2.01
Re (0.0000, 0.0000, 0.0000)  6 B 2.01

=====

Material: CsNdAgCl6
Method: DFT, PBE
State: relaxed

Properties
N(E_F)	6.07	states/eV per cell
formation energy (no corrections)	-1.541	eV per atom
theoretical density	2.949	g cm⁻³
final energy	-3.71	eV per atom

a = 10.1173 Å, b = 9.3156 Å, c = 9.9151 Å
α = 118.02°, β = 120.68°, γ = 90.00°
With the nearest neighbours (Å) after each atom.
Sites, in units of the cell vectors:
Cl (0.4465, 0.1119, 0.2702)  1 Ag 2.72, 1 Nd 2.75
Cl (0.1763, 0.8881, 0.7298)  1 Ag 2.72, 1 Nd 2.75
Cl (0.8237, 0.1119, 0.2702)  1 Ag 2.72, 1 Nd 2.75
Cl (0.1763, 0.3417, 0.7298)  1 Ag 2.72, 1 Nd 2.75
Cl (0.5535, 0.3417, 0.7298)  1 Ag 2.72, 1 Nd 2.75
Cl (0.5535, 0.8881, 0.7298)  1 Ag 2.72, 1 Nd 2.75
Cl (0.8237, 0.6583, 0.2702)  1 Ag 2.72, 1 Nd 2.75
Cl (0.8304, 0.0804, 0.6608)  2 Nd 2.78
Cl (0.5425, 0.2925, 0.0851)  2 Ag 2.41
Cl (0.1696, 0.9196, 0.3392)  2 Nd 2.78
Cl (0.4575, 0.7075, 0.9149)  2 Ag 2.41
Cl (0.4465, 0.6583, 0.2702)  1 Ag 2.72, 1 Nd 2.75
Nd (0.5000, 0.0000, 0.5000)  6 Cl 2.75-2.78
Nd (0.0000, 0.0000, 0.5000)  6 Cl 2.75-2.78
Ag (0.5000, 0.5000, 0.0000)  2 Cl 2.41
Ag (0.5000, 0.0000, 0.0000)  2 Cl 2.41
Cs (0.2104, 0.4604, 0.4209)  5 Cl 3.53-3.87
Cs (0.7896, 0.5396, 0.5791)  5 Cl 3.53-3.87

=====

Material: SrCd
Method: DFT, PBE
State: relaxed

Properties
N(E_F)	3.94	states/eV per cell
theoretical density	4.629	g cm⁻³
final energy	-1.61	eV per atom
E_form	-0.309	eV/atom

a = 6.7589 Å, b = 6.7589 Å, c = 5.0152 Å
α = 90.00°, β = 90.00°, γ = 141.22°
With the nearest neighbours (Å) after each atom.
Sites, in units of the cell vectors:
Cd (0.9301, 0.0699, 0.7500)  2 Cd 3.08
Cd (0.0699, 0.9301, 0.2500)  2 Cd 3.08
Sr (0.3534, 0.6466, 0.2500)  7 Cd 3.50-3.61
Sr (0.6466, 0.3534, 0.7500)  7 Cd 3.50-3.61